1.
Computed, not measured: a PBEsol-optimized structure of K2PrCl5 at the meta-GGA SCAN level of DFT.

a b c (Å): 12.6050 8.6870 7.9577
angles (deg): 90.00 90.00 90.00
Last column: nearest neighbours and their distance in Å.
Atoms (fractional coordinates):
K1 0.1728 0.0040 0.0468  8 Cl 3.13-3.32
K2 0.1728 0.4960 0.0468  8 Cl 3.13-3.32
K3 0.3272 0.5040 0.5468  8 Cl 3.13-3.32
K4 0.3272 0.9960 0.5468  8 Cl 3.13-3.32
K5 0.6728 0.0040 0.4532  8 Cl 3.13-3.32
K6 0.6728 0.4960 0.4532  8 Cl 3.13-3.32
K7 0.8272 0.5040 0.9532  8 Cl 3.13-3.32
K8 0.8272 0.9960 0.9532  8 Cl 3.13-3.32
Pr1 0.0071 0.2500 0.5765  7 Cl 2.76-2.85
Pr2 0.4929 0.7500 0.0765  7 Cl 2.76-2.85
Pr3 0.5071 0.2500 0.9235  7 Cl 2.76-2.85
Pr4 0.9929 0.7500 0.4235  7 Cl 2.76-2.85
Cl1 0.0078 0.2500 0.9261  1 Pr 2.78
Cl2 0.0811 0.5441 0.6639  2 Pr 2.81-2.85
Cl3 0.0811 0.9559 0.6639  2 Pr 2.81-2.85
Cl4 0.1807 0.2500 0.3654  1 Pr 2.76
Cl5 0.2069 0.7500 0.3289  1 Pr 2.80
Cl6 0.2931 0.2500 0.8289  1 Pr 2.80
Cl7 0.3193 0.7500 0.8654  1 Pr 2.76
Cl8 0.4189 0.0441 0.1639  2 Pr 2.81-2.85
Cl9 0.4189 0.4559 0.1639  2 Pr 2.81-2.85
Cl10 0.4922 0.7500 0.4261  1 Pr 2.78
Cl11 0.5078 0.2500 0.5739  1 Pr 2.78
Cl12 0.5811 0.5441 0.8361  2 Pr 2.81-2.85
Cl13 0.5811 0.9559 0.8361  2 Pr 2.81-2.85
Cl14 0.6807 0.2500 0.1346  1 Pr 2.76
Cl15 0.7069 0.7500 0.1711  1 Pr 2.80
Cl16 0.7931 0.2500 0.6711  1 Pr 2.80
Cl17 0.8193 0.7500 0.6346  1 Pr 2.76
Cl18 0.9189 0.0441 0.3361  2 Pr 2.81-2.85
Cl19 0.9189 0.4559 0.3361  2 Pr 2.81-2.85
Cl20 0.9922 0.7500 0.0739  1 Pr 2.78

Summary:
Energy relative to the elements, uncorrected = -2.440 eV/atom



2.
Computed, not measured: a PBEsol-optimized structure of CsTcPb3 at the meta-GGA SCAN level of DFT.

a b c (Å): 5.3547 5.3547 5.3547
angles (deg): 90.00 90.00 90.00
Last column: nearest neighbours and their distance in Å.
Atoms (fractional coordinates):
Cs1 0.0000 0.0000 0.0000  12 Pb 3.79
Tc1 0.5000 0.5000 0.5000  6 Pb 2.68
Pb1 0.0000 0.5000 0.5000  2 Tc 2.68
Pb2 0.5000 0.0000 0.5000  2 Tc 2.68
Pb3 0.5000 0.5000 0.0000  2 Tc 2.68

Summary:
Energy of formation from the pure elements = 0.178 eV per atom



3.
Computed, not measured: a PBEsol-optimized structure of La2TaBe at the meta-GGA SCAN level of DFT.

a b c (Å): 4.2792 5.8954 5.8954
angles (deg): 41.28 90.00 90.00
Last column: nearest neighbours and their distance in Å.
Atoms (fractional coordinates):
La1 0.0000 0.0000 0.0000  3 Ta 3.05-3.29, 4 Be 3.15
La2 0.5000 0.2925 0.2925  3 Be 3.04-3.30, 4 Ta 3.15
Ta1 0.0000 0.7021 0.7021  2 Be 2.46
Be1 0.5000 0.5919 0.5919  2 Ta 2.46

Summary:
Energy of formation from the pure elements = 0.392 eV per atom



Across the entries above, theoretical density takes the values 3.0; 9.2; 7.9 g cm⁻³, respectively.